No. 1
Material: TaV5Mo2
Method: DFT, PBE-GGA
State: optimized geometry

Structure (POSCAR):
```
TaV5Mo2
1.0
5.0954 0.3920 -1.5751
-2.6762 4.3548 -1.5723
-0.2008 -0.3976 5.3292
V Mo Ta
5 2 1
Direct
0.2779 0.7779 0.0000
0.7779 0.2779 0.0000
0.7779 0.7779 0.5000
0.2779 0.2779 0.0000
0.2779 0.2779 0.5000
0.2779 0.7779 0.5000
0.7779 0.2779 0.5000
0.7778 0.7778 0.0000
```

No. 2
Material: Ta2V2Mo3
Method: DFT, PBE-GGA
State: optimized geometry

Structure (POSCAR):
```
Ta2V2Mo3
1.0
4.4666 0.0000 0.0000
-2.2333 4.7513 0.3025
0.0000 -0.7789 5.1684
Mo V Ta
3 2 2
Direct
0.7187 0.4374 0.8488
0.0000 0.0000 0.0000
0.2813 0.5626 0.1512
0.8583 0.7167 0.4241
0.1417 0.2833 0.5759
0.5714 0.1428 0.2814
0.4286 0.8572 0.7186
```

Values from the calculation:
For the energy above the most stable polymorph in this dataset, the calculation gives 0.00 eV per formula unit.

No. 3
Material: TaV4Mo
Method: DFT, PBE-GGA
State: optimized geometry

Structure (POSCAR):
```
TaV4Mo
1.0
-2.1853 -3.3886 2.9595
-0.3592 -4.7611 -1.4900
2.7596 -3.5307 2.2216
V Ta Mo
4 1 1
Direct
0.6250 0.6250 0.1249
0.1249 0.6250 0.6250
0.6250 0.1249 0.6250
0.6250 0.6250 0.6250
0.0000 0.0000 0.0000
0.2500 0.2500 0.2500
```

No. 4
Material: Ta2V2Mo3
Method: DFT, PBE-GGA
State: optimized geometry

Structure (POSCAR):
```
Ta2V2Mo3
1.0
6.3413 0.0000 -2.2420
-3.1707 5.4918 -2.2420
0.0000 0.0000 6.7260
Mo Ta V
6 4 4
Direct
0.1932 0.4431 0.2500
0.9431 0.2500 0.6931
0.2500 0.8069 0.0569
0.5568 0.7500 0.8068
0.3069 0.0569 0.7500
0.7500 0.6932 0.4431
0.5000 0.3367 0.5000
0.6633 0.1633 0.1633
0.8367 0.5000 0.0000
0.0000 0.0000 0.3367
0.5000 0.9132 0.5000
0.0000 0.0000 0.9132
0.0867 0.5868 0.5867
0.4132 0.5000 0.0000
```

Values from the calculation:
For the energy above the most stable polymorph in this dataset, the calculation gives 3.58 eV per formula unit.

Number 1: energy of formation from the pure elements -0.027 eV per atom, Fermi-level density of states 16.43 states/eV per cell. Number 2: energy of formation from the pure elements -0.096 eV per atom, Fermi-level density of states 8.08 states/eV per cell. Number 3: energy of formation from the pure elements -0.095 eV per atom, Fermi-level density of states 3.88 states/eV per cell. Number 4: energy of formation from the pure elements 0.415 eV per atom, Fermi-level density of states 12.34 states/eV per cell.